# Er2Si4Pt3Au | Alexandria via LeMat-Bulk | PBE | optimized geometry
data_Er2Si4Pt3Au
_chemical_formula_sum 'Er2 Si4 Pt3 Au1'
_cell_length_a 4.207
_cell_length_b 4.207
_cell_length_c 9.916
_cell_angle_alpha 90.00
_cell_angle_beta 90.00
_cell_angle_gamma 90.00
_symmetry_space_group_name_H-M 'P -4 m 2'
_symmetry_Int_Tables_number 115
loop_
_symmetry_equiv_pos_as_xyz
'x,y,z'
'y,-x,-z'
'-x,-y,z'
'-y,x,-z'
'-x,y,z'
'-y,-x,-z'
'x,-y,z'
'y,x,-z'
loop_
_atom_site_label
_atom_site_type_symbol
_atom_site_fract_x
_atom_site_fract_y
_atom_site_fract_z
Er1 Er 0.000 0.500 0.246
Si1 Si 0.000 0.000 0.000
Si2 Si 0.000 0.500 0.640
Si3 Si 0.500 0.500 0.000
Pt1 Pt 0.000 0.500 0.879
Pt2 Pt 0.500 0.500 0.500
Au1 Au 0.000 0.000 0.500
# Fermi-level density of states: 3.79 states/eV/f.u.
# Formation energy without anion corrections: -9.5 eV per formula unit
# Total moment: 0.000 μB per atom
# VASP energy: -6.1731 eV/atom